The following is a DFT calculation (PBE-GGA) of crystalline Ac3ReO6F2 at its relaxed geometry.

Computed properties:
Total magnetization ... 1.954 μB per formula unit
Formation energy without anion corrections ... -2.72 eV per atom
VASP energy ... -7.58 eV per atom

a = 12.101 Å, b = 6.978 Å, c = 5.204 Å
α = 90.00°, β = 93.93°, γ = 90.00°
Space group C2/m (No. 12)
Unique sites:
Ac  0.000  0.000  0.000 x2
Ac  0.250  0.250  0.500 x4
Re  0.000  0.500  0.500 x2
O  0.063  0.277  0.296 x8
O  0.145  0.500  0.698 x4
F  0.182  0.000  0.805 x4

***

The following is a DFT calculation (PBE-GGA) of crystalline Li5InPd3 at its relaxed geometry.

Computed properties:
Energy of formation ... -0.2841 eV/atom
Total magnetization ... 0.000 μB per formula unit
VASP energy ... -3.38 eV per atom

a = 9.457 Å, b = 9.262 Å, c = 8.526 Å
α = 90.00°, β = 108.39°, γ = 90.00°
Space group C2/m (No. 12)
Unique sites:
Li  0.000  0.236  0.000 x4
Li  0.030  0.237  0.346 x8
Li  0.245  0.500  0.911 x4
Li  0.246  0.500  0.587 x4
In  0.250  0.000  0.749 x4
Pd  0.000  0.000  0.163 x4
Pd  0.000  0.000  0.500 x2
Pd  0.000  0.500  0.000 x2
Pd  0.002  0.500  0.338 x4

***

The following is a DFT calculation (PBE-GGA) of crystalline Ru2WSe at its relaxed geometry.

Computed properties:
Total magnetization ... 0.002 μB per formula unit
Formation energy without anion corrections ... 0.45 eV per atom
VASP energy ... -8.30 eV per atom

a = 3.941 Å, b = 3.941 Å, c = 7.731 Å
α = 90.00°, β = 90.00°, γ = 90.00°
Space group I4/mmm (No. 139)
Unique sites:
Ru  0.000  0.500  0.250 x4
W  0.000  0.000  0.000 x2
Se  0.000  0.000  0.500 x2

***

The following is a DFT calculation (PBE-GGA) of crystalline Li2CaZr at its relaxed geometry.

Computed properties:
Energy of formation ... 0.3281 eV/atom
Total magnetization ... 0.001 μB per formula unit
VASP energy ... -3.27 eV per atom
Excess energy over the best structure of this formula in the dataset ... 71.7 meV/atom

a = 3.114 Å, b = 5.015 Å, c = 6.374 Å
α = 90.00°, β = 104.12°, γ = 90.00°
Space group Pm (No. 6)
Unique sites:
Li  0.000  0.000  0.000 x1
Li  0.123  0.500  0.263 x1
Ca  0.380  0.500  0.768 x1
Zr  0.717  0.000  0.446 x1

***

The following is a DFT calculation (PBE-GGA) of crystalline NdErMgZr at its relaxed geometry.

Computed properties:
Energy of formation ... 0.1358 eV/atom
Total magnetization ... 1.847 μB per formula unit
VASP energy ... -4.73 eV per atom

a = 7.620 Å, b = 7.620 Å, c = 7.620 Å
α = 90.00°, β = 90.00°, γ = 90.00°
Space group F-43m (No. 216)
Unique sites:
Nd  0.000  0.000  0.000 x4
Er  0.000  0.000  0.500 x4
Mg  0.250  0.250  0.250 x4
Zr  0.250  0.250  0.750 x4

***

The following is a DFT calculation (PBE-GGA) of crystalline RbTiHg2W at its relaxed geometry.

Computed properties:
Energy of formation ... 0.6597 eV/atom
Total magnetization ... 0.000 μB per formula unit
VASP energy ... -3.82 eV per atom

a = 5.583 Å, b = 5.583 Å, c = 4.632 Å
α = 90.00°, β = 90.00°, γ = 90.00°
Space group P4/mmm (No. 123)
Unique sites:
Rb  0.000  0.000  0.000 x1
Ti  0.500  0.500  0.000 x1
Hg  0.000  0.500  0.500 x2
W  0.500  0.500  0.500 x1

***

The following is a DFT calculation (PBE-GGA) of crystalline LaMg2Fe at its relaxed geometry.

Computed properties:
Energy of formation ... 0.4426 eV/atom
Total magnetization ... 1.443 μB per formula unit
VASP energy ... -3.70 eV per atom

a = 4.096 Å, b = 4.096 Å, c = 22.729 Å
α = 90.00°, β = 90.00°, γ = 90.00°
Space group I-42d (No. 122)
Unique sites:
La  0.000  0.000  0.000 x4
Mg  0.228  0.250  0.625 x8
Fe  0.000  0.000  0.500 x4

***

The following is a DFT calculation (PBE-GGA) of crystalline MnCr4Pb at its relaxed geometry.

Computed properties:
Energy of formation ... 0.4770 eV/atom
Total magnetization ... 2.081 μB per formula unit
VASP energy ... -8.08 eV per atom

a = 6.921 Å, b = 6.921 Å, c = 6.921 Å
α = 90.00°, β = 90.00°, γ = 90.00°
Space group F-43m (No. 216)
Unique sites:
Mn  0.000  0.000  0.000 x4
Cr  0.126  0.126  0.626 x16
Pb  0.250  0.250  0.250 x4

***

The following is a DFT calculation (PBE-GGA) of crystalline Sc2GeP at its relaxed geometry.

Computed properties:
Energy of formation ... -1.0685 eV/atom
Total magnetization ... 0.000 μB per formula unit
VASP energy ... -6.74 eV per atom
Excess energy over the best structure of this formula in the dataset ... 89.5 meV/atom

a = 3.6690 Å, b = 3.6690 Å, c = 20.3851 Å
α = 90.00°, β = 90.00°, γ = 120.00°
Space group R-3m (No. 166, hexagonal axes)
Unique sites:
Sc  0.0000  0.0000  0.2418 x6
Ge  0.0000  0.0000  0.0000 x3
P  0.0000  0.0000  0.5000 x3

***

The following is a DFT calculation (PBE-GGA) of crystalline HgPd2I at its relaxed geometry.

Computed properties:
Total magnetization ... 0.000 μB per formula unit
Formation energy without anion corrections ... 0.16 eV per atom
VASP energy ... -2.90 eV per atom
Excess energy over the best structure of this formula in the dataset ... 0.0 meV/atom

a = 6.875 Å, b = 6.875 Å, c = 6.875 Å
α = 90.00°, β = 90.00°, γ = 90.00°
Space group Fm-3m (No. 225)
Unique sites:
Hg  0.000  0.000  0.000 x4
Pd  0.250  0.250  0.250 x8
I  0.000  0.000  0.500 x4

***

The following is a DFT calculation (PBE-GGA) of crystalline KMo3 at its relaxed geometry.

Computed properties:
Energy of formation ... 0.7376 eV/atom
Total magnetization ... 0.000 μB per formula unit
VASP energy ... -7.66 eV per atom
Excess energy over the best structure of this formula in the dataset ... 0.0 meV/atom

a = 3.192 Å, b = 4.606 Å, c = 10.529 Å
α = 90.00°, β = 90.00°, γ = 90.00°
Space group Cmmm (No. 65)
Unique sites:
K  0.000  0.000  0.000 x2
Mo  0.000  0.000  0.500 x2
Mo  0.000  0.500  0.298 x4

***

The following is a DFT calculation (PBE-GGA) of crystalline InCoNiAs at its relaxed geometry.

Computed properties:
Energy of formation ... -0.0489 eV/atom
Total magnetization ... 0.211 μB per formula unit
VASP energy ... -5.12 eV per atom
Excess energy over the best structure of this formula in the dataset ... 40.4 meV/atom

a = 2.918 Å, b = 3.564 Å, c = 6.123 Å
α = 90.00°, β = 90.00°, γ = 90.00°
Space group Pmm2 (No. 25)
Unique sites:
In  0.000  0.000  0.000 x1
Co  0.500  0.000  0.386 x1
Ni  0.500  0.500  0.763 x1
As  0.000  0.500  0.467 x1

***

Summary of N(E_F) in states/eV/cell
8.6, 12.0, 9.9, 4.0, 20.5, 4.7, 26.5, 23.4, 2.4, 13.9, 7.8, 2.4
(order as listed above)